1.
MgGa2I6: optimized geometry, PBE-GGA.

Properties
Raw formation energy (eV per atom): -0.56
Excess energy over the best structure of this formula in the dataset (meV/atom): 76
V (Å³ per cell): 2091
Crystal system: monoclinic

Lattice parameters (Å, degrees): 16.252 16.229 9.735 90.00 125.48 90.00
Space group C2/c (No. 15)
Symmetry-distinct sites (fractional):
Mg 0.000 0.187 0.250
Ga 0.187 0.427 0.302
I 0.105 0.086 0.532
I 0.129 0.263 0.194
I 0.145 0.489 0.520

2.
DyEr2ScTl4: optimized geometry, PBE-GGA.

Properties
E_form (eV per atom): -0.30
V (Å³ per cell): 628
Crystal system: trigonal

Lattice parameters (Å, degrees): 5.2815 5.2815 25.9798 90.00 90.00 120.00
Space group R-3m (No. 166, hexagonal axes)
Symmetry-distinct sites (fractional):
Dy 0.0000 0.0000 0.0000
Er 0.0000 0.0000 0.2488
Sc 0.0000 0.0000 0.5000
Tl 0.0000 0.0000 0.1265
Tl 0.0000 0.0000 0.3767

3.
BeNb2TlSn: optimized geometry, PBE-GGA.

Properties
E_form (eV per atom): 0.58
V (Å³ per cell): 96
Crystal system: tetragonal

Lattice parameters (Å, degrees): 4.649 4.649 4.446 90.00 90.00 90.00
Space group P4/mmm (No. 123)
Symmetry-distinct sites (fractional):
Be 0.000 0.000 0.000
Nb 0.000 0.500 0.000
Tl 0.500 0.500 0.500
Sn 0.000 0.000 0.500

4.
CdTcS3: optimized geometry, PBE-GGA.

Properties
Raw formation energy (eV per atom): 0.16
Excess energy over the best structure of this formula in the dataset (meV/atom): 0
V (Å³ per cell): 102
Crystal system: cubic

Lattice parameters (Å, degrees): 4.674 4.674 4.674 90.00 90.00 90.00
Space group Pm-3m (No. 221)
Symmetry-distinct sites (fractional):
Cd 0.000 0.000 0.000
Tc 0.500 0.500 0.500
S 0.000 0.500 0.500

5.
CsLiOs2O8: optimized geometry, PBE-GGA.

Properties
Raw formation energy (eV per atom): -1.26
V (Å³ per cell): 475
Crystal system: monoclinic

Lattice parameters (Å, degrees): 9.171 6.006 8.671 90.00 95.83 90.00
Space group C2/m (No. 12)
Symmetry-distinct sites (fractional):
Cs 0.000 0.000 0.000
Li 0.000 0.000 0.500
Os 0.126 0.500 0.302
O 0.022 0.256 0.323
O 0.177 0.500 0.111
O 0.225 0.000 0.555

6.
Sc2InTe6: optimized geometry, PBE-GGA.

Properties
Raw formation energy (eV per atom): -0.53
V (Å³ per cell): 610
Crystal system: tetragonal

Lattice parameters (Å, degrees): 6.886 6.886 12.861 90.00 90.00 90.00
Space group P4_2/mnm (No. 136)
Symmetry-distinct sites (fractional):
Sc 0.000 0.000 0.160
In 0.000 0.000 0.500
Te 0.199 0.199 0.000
Te 0.204 0.204 0.323

7.
Sr2Ni3Sn4Ir: optimized geometry, PBE-GGA.

Properties
E_form (eV per atom): -0.41
V (Å³ per cell): 216
Crystal system: tetragonal

Lattice parameters (Å, degrees): 4.467 4.467 10.813 90.00 90.00 90.00
Space group P-4m2 (No. 115)
Symmetry-distinct sites (fractional):
Sr 0.000 0.500 0.248
Ni 0.000 0.000 0.000
Ni 0.000 0.500 0.629
Sn 0.000 0.000 0.500
Sn 0.000 0.500 0.869
Sn 0.500 0.500 0.500
Ir 0.500 0.500 0.000

8.
LaO2F: optimized geometry, PBE-GGA.

Properties
Raw formation energy (eV per atom): -2.11
Excess energy over the best structure of this formula in the dataset (meV/atom): 192
V (Å³ per cell): 203
Crystal system: cubic

Lattice parameters (Å, degrees): 5.879 5.879 5.879 90.00 90.00 90.00
Space group Fm-3m (No. 225)
Symmetry-distinct sites (fractional):
La 0.000 0.000 0.000
O 0.250 0.250 0.250
F 0.000 0.000 0.500

9.
CaCr3: optimized geometry, PBE-GGA.

Properties
E_form (eV per atom): 0.81
V (Å³ per cell): 71
Crystal system: tetragonal

Lattice parameters (Å, degrees): 4.653 4.653 3.295 90.00 90.00 90.00
Space group P4/mmm (No. 123)
Symmetry-distinct sites (fractional):
Ca 0.000 0.000 0.000
Cr 0.000 0.500 0.500
Cr 0.500 0.500 0.000

10.
ScSiN2O: optimized geometry, PBE-GGA.

Properties
Raw formation energy (eV per atom): -1.22
V (Å³ per cell): 46
Crystal system: tetragonal

Lattice parameters (Å, degrees): 3.577 3.577 3.631 90.00 90.00 90.00
Space group P4/mmm (No. 123)
Symmetry-distinct sites (fractional):
Sc 0.000 0.000 0.000
Si 0.500 0.500 0.500
N 0.000 0.500 0.500
O 0.500 0.500 0.000

11.
VCrIn3: optimized geometry, PBE-GGA.

Properties
E_form (eV per atom): 0.94
Excess energy over the best structure of this formula in the dataset (meV/atom): 99
V (Å³ per cell): 127
Crystal system: cubic

Lattice parameters (Å, degrees): 5.023 5.023 5.023 90.00 90.00 90.00
Space group Pm-3m (No. 221)
Symmetry-distinct sites (fractional):
V 0.000 0.000 0.000
Cr 0.500 0.500 0.500
In 0.000 0.500 0.500

12.
LiReTe: optimized geometry, PBE-GGA.

Properties
Raw formation energy (eV per atom): 0.48
Excess energy over the best structure of this formula in the dataset (meV/atom): 294
V (Å³ per cell): 54
Crystal system: hexagonal

Lattice parameters (Å, degrees): 4.5073 4.5073 3.0968 90.00 90.00 120.00
Space group P-6m2 (No. 187)
Symmetry-distinct sites (fractional):
Li 0.0000 0.0000 0.0000
Re 0.3333 0.6667 0.5000
Te 0.6667 0.3333 0.5000

13.
SrCa2HgPt: optimized geometry, PBE-GGA.

Properties
E_form (eV per atom): -0.52
V (Å³ per cell): 180
Crystal system: tetragonal

Lattice parameters (Å, degrees): 5.534 5.534 5.885 90.00 90.00 90.00
Space group P4/mmm (No. 123)
Symmetry-distinct sites (fractional):
Sr 0.000 0.000 0.000
Ca 0.000 0.500 0.500
Hg 0.500 0.500 0.000
Pt 0.000 0.000 0.500

14.
Co2SiNi: optimized geometry, PBE-GGA.

Properties
Raw formation energy (eV per atom): -0.31
V (Å³ per cell): 43
Crystal system: tetragonal

Lattice parameters (Å, degrees): 3.507 3.507 3.485 90.00 90.00 90.00
Space group P4/mmm (No. 123)
Symmetry-distinct sites (fractional):
Co 0.000 0.500 0.000
Si 0.000 0.000 0.500
Ni 0.500 0.500 0.500

15.
KCr2BiMo: optimized geometry, PBE-GGA.

Properties
E_form (eV per atom): 2.47
V (Å³ per cell): 157
Crystal system: tetragonal

Lattice parameters (Å, degrees): 5.144 5.144 5.922 90.00 90.00 90.00
Space group P4/mmm (No. 123)
Symmetry-distinct sites (fractional):
K 0.000 0.000 0.000
Cr 0.000 0.500 0.000
Bi 0.000 0.000 0.500
Mo 0.500 0.500 0.500

16.
Hf2SnBiTe: optimized geometry, PBE-GGA.

Properties
Raw formation energy (eV per atom): 1.00
V (Å³ per cell): 163
Crystal system: tetragonal

Lattice parameters (Å, degrees): 5.410 5.410 5.558 90.00 90.00 90.00
Space group P4/mmm (No. 123)
Symmetry-distinct sites (fractional):
Hf 0.000 0.500 0.000
Sn 0.000 0.000 0.000
Bi 0.000 0.000 0.500
Te 0.500 0.500 0.500

17.
BAu2Se: optimized geometry, PBE-GGA.

Properties
Raw formation energy (eV per atom): 0.48
Excess energy over the best structure of this formula in the dataset (meV/atom): 0
V (Å³ per cell): 314
Crystal system: tetragonal

Lattice parameters (Å, degrees): 4.902 4.902 13.045 90.00 90.00 90.00
Space group I-42d (No. 122)
Symmetry-distinct sites (fractional):
B 0.000 0.000 0.000
Au 0.158 0.250 0.125
Se 0.000 0.000 0.500